Below is an optimized crystal structure of NaMo3As, with properties calculated at the PBE-GGA level.

a = 4.5839 Å, b = 4.5839 Å, c = 4.5839 Å
α = 90.00°, β = 90.00°, γ = 90.00°
Fractional coordinates of all 5 atoms:
Na  0.0000  0.0000  0.0000
Mo  0.0000  0.0000  0.5000
Mo  0.0000  0.5000  0.0000
Mo  0.5000  0.0000  0.0000
As  0.5000  0.5000  0.5000

Results
- Formation enthalpy at 0 K: 2.59 eV per atom
- Symmetry: Pm-3m (221)
- Energy above the lowest structure with this stoichiometry: 6.49 eV/f.u.
- Calculated density: 6.7 Mg/m³

Below is an optimized crystal structure of HoErTh4, with properties calculated at the PBE-GGA level.

a = 6.1775 Å, b = 7.0638 Å, c = 8.7285 Å
α = 90.00°, β = 90.22°, γ = 90.00°
Fractional coordinates of all 12 atoms:
Ho  0.0000  0.0000  0.0000
Ho  0.0000  0.5000  0.0000
Er  0.1617  0.2500  0.6673
Er  0.8383  0.7500  0.3327
Th  0.1615  0.7500  0.6673
Th  0.3380  0.5014  0.3361
Th  0.3380  0.9986  0.3361
Th  0.4981  0.7500  0.0005
Th  0.5019  0.2500  0.9995
Th  0.6620  0.0014  0.6639
Th  0.6620  0.4986  0.6639
Th  0.8385  0.2500  0.3327

Results
- Formation enthalpy at 0 K: 0.04 eV per atom
- Symmetry: P2_1/m (11)
- Calculated density: 11.0 Mg/m³

Below is an optimized crystal structure of NpGeSb, with properties calculated at the PBE-GGA level.

a = 6.9269 Å, b = 5.5801 Å, c = 5.8160 Å
α = 74.83°, β = 51.03°, γ = 54.13°
Fractional coordinates of all 6 atoms:
Np  0.0000  0.0000  0.0000
Np  0.2500  0.2500  0.2500
Ge  0.6600  0.6600  0.3400
Ge  0.9100  0.9100  0.5900
Sb  0.3519  0.3519  0.6481
Sb  0.6019  0.6019  0.8981

Results
- Raw formation energy: -0.11 eV per atom
- Symmetry: Fdd2 (43)
- Energy above the lowest structure with this stoichiometry: 0.38 eV/f.u.
- Calculated density: 10.3 Mg/m³

Below is an optimized crystal structure of TcPb2, with properties calculated at the PBE-GGA level.

a = 5.6785 Å, b = 5.6785 Å, c = 5.6785 Å
α = 103.46°, β = 103.46°, γ = 122.32°
Fractional coordinates of all 6 atoms:
Tc  0.2500  0.2500  0.0000
Tc  0.7500  0.7500  0.0000
Pb  0.1586  0.6586  0.8172
Pb  0.3414  0.1586  0.5000
Pb  0.6586  0.8414  0.5000
Pb  0.8414  0.3414  0.1828

Results
- Formation enthalpy at 0 K: 0.37 eV per atom
- Symmetry: I4/mcm (140)
- Energy above the lowest structure with this stoichiometry: 0.00 eV/f.u.
- Calculated density: 12.6 Mg/m³

Below is an optimized crystal structure of CuPtF2, with properties calculated at the PBE-GGA level.

a = 5.1256 Å, b = 5.1256 Å, c = 5.1256 Å
α = 106.43°, β = 106.43°, γ = 115.75°
Fractional coordinates of all 8 atoms:
Cu  0.0000  0.0000  0.0000
Cu  0.7500  0.2500  0.5000
Pt  0.2500  0.7500  0.5000
Pt  0.5000  0.5000  0.0000
F  0.0893  0.6250  0.9643
F  0.3750  0.3393  0.4643
F  0.6607  0.1250  0.0357
F  0.8750  0.9107  0.5357

Results
- Raw formation energy: -0.27 eV per atom
- Symmetry: I-42d (122)
- Energy above the lowest structure with this stoichiometry: 2.00 eV/f.u.
- Calculated density: 9.6 Mg/m³

Below is an optimized crystal structure of Pa2CrRe, with properties calculated at the PBE-GGA level.

a = 4.8576 Å, b = 4.8576 Å, c = 3.4004 Å
α = 90.00°, β = 90.00°, γ = 90.00°
Fractional coordinates of all 4 atoms:
Pa  0.0000  0.5000  0.0000
Pa  0.5000  0.0000  0.0000
Cr  0.0000  0.0000  0.5000
Re  0.5000  0.5000  0.5000

Results
- Formation enthalpy at 0 K: 0.23 eV per atom
- Symmetry: P4/mmm (123)
- Energy above the lowest structure with this stoichiometry: 0.03 eV/f.u.
- Calculated density: 14.5 Mg/m³

Below is an optimized crystal structure of Sm5PdRu4, with properties calculated at the PBE-GGA level.

a = 3.4933 Å, b = 3.4933 Å, c = 17.4412 Å
α = 90.00°, β = 90.00°, γ = 90.00°
Fractional coordinates of all 10 atoms:
Sm  0.0000  0.0000  0.0000
Sm  0.0000  0.0000  0.1971
Sm  0.0000  0.0000  0.3941
Sm  0.0000  0.0000  0.6059
Sm  0.0000  0.0000  0.8029
Pd  0.5000  0.5000  0.5000
Ru  0.5000  0.5000  0.0988
Ru  0.5000  0.5000  0.2999
Ru  0.5000  0.5000  0.7001
Ru  0.5000  0.5000  0.9012

Results
- Formation enthalpy at 0 K: -0.32 eV per atom
- Symmetry: P4/mmm (123)
- Calculated density: 9.9 Mg/m³

Below is an optimized crystal structure of Hf6Tl3Fe, with properties calculated at the PBE-GGA level.

a = 6.3586 Å, b = 6.3586 Å, c = 7.3667 Å
α = 106.76°, β = 106.76°, γ = 60.05°
Fractional coordinates of all 10 atoms:
Hf  0.1327  0.6525  0.6209
Hf  0.3076  0.3076  0.2086
Hf  0.3475  0.8673  0.3791
Hf  0.6525  0.1327  0.6209
Hf  0.6924  0.6924  0.7914
Hf  0.8673  0.3475  0.3791
Tl  0.0000  0.0000  0.0000
Tl  0.2029  0.2029  0.7718
Tl  0.7971  0.7971  0.2282
Fe  0.5000  0.5000  0.5000

Results
- Formation enthalpy at 0 K: 0.26 eV per atom
- Symmetry: C2/m (12)
- Calculated density: 11.9 Mg/m³

Q: Which of these has the highest calculated density?
A: Pa2CrRe

Q: What is the formula in the eighth record?
A: Hf6Tl3Fe

Q: Which formula does entry 7 have?
A: Sm5PdRu4